No. 1
Compound: HoAg2Pd
Source: Alexandria via LeMat-Bulk
Functional: GGA-PBE
Structure: optimized geometry

Unit cell a=3.998 b=4.148 c=9.226 alpha=90.00 beta=90.00 gamma=90.00
Space group Immm (No. 71)
Inequivalent atoms, fractional coordinates:
1 Ho 0.000 0.000 0.000 [2 per cell]
2 Ag 0.000 0.500 0.248 [4 per cell]
3 Pd 0.000 0.000 0.500 [2 per cell]

- energy relative to the elements (eV/f.u.) = -1.97
- total moment (μB per formula unit) = 0.00
- E above lowest polymorph (eV/atom) = 0.0000

=====

No. 2
Compound: Na10B17C3
Source: Alexandria via LeMat-Bulk
Functional: GGA-PBE
Structure: optimized geometry

Unit cell a=23.542 b=2.830 c=10.219 alpha=90.00 beta=105.70 gamma=90.00
Space group Cm (No. 8)
Inequivalent atoms, fractional coordinates:
1 Na 0.000 0.000 0.000 [2 per cell]
2 Na 0.000 0.500 0.499 [2 per cell]
3 Na 0.098 0.000 0.698 [2 per cell]
4 Na 0.100 0.500 0.201 [2 per cell]
5 Na 0.199 0.500 0.899 [2 per cell]
6 Na 0.200 0.000 0.398 [2 per cell]
7 Na 0.300 0.500 0.599 [2 per cell]
8 Na 0.302 0.000 0.101 [2 per cell]
9 Na 0.401 0.000 0.799 [2 per cell]
10 Na 0.403 0.500 0.300 [2 per cell]
11 B 0.016 0.500 0.780 [2 per cell]
12 B 0.079 0.500 0.908 [2 per cell]
13 B 0.083 0.000 0.416 [2 per cell]
14 B 0.118 0.000 0.989 [2 per cell]
15 B 0.172 0.500 0.594 [2 per cell]
16 B 0.181 0.000 0.114 [2 per cell]
17 B 0.214 0.000 0.677 [2 per cell]
18 B 0.222 0.500 0.195 [2 per cell]
19 B 0.277 0.000 0.803 [2 per cell]
20 B 0.285 0.500 0.319 [2 per cell]
21 B 0.321 0.500 0.889 [2 per cell]
22 B 0.325 0.000 0.397 [2 per cell]
23 B 0.384 0.500 0.017 [2 per cell]
24 B 0.413 0.500 0.573 [2 per cell]
25 B 0.425 0.000 0.099 [2 per cell]
26 B 0.478 0.500 0.703 [2 per cell]
27 B 0.491 0.000 0.233 [2 per cell]
28 C 0.022 0.000 0.295 [2 per cell]
29 C 0.114 0.500 0.478 [2 per cell]
30 C 0.383 0.000 0.513 [2 per cell]

- energy relative to the elements (eV/f.u.) = 6.16
- total moment (μB per formula unit) = 0.00
- E above lowest polymorph (eV/atom) = 0.0004

=====

No. 3
Compound: ScGaCo2Bi
Source: Alexandria via LeMat-Bulk
Functional: GGA-PBE
Structure: optimized geometry

Unit cell a=4.732 b=4.732 c=5.323 alpha=90.00 beta=90.00 gamma=90.00
Space group P4/mmm (No. 123)
Inequivalent atoms, fractional coordinates:
1 Sc 0.000 0.000 0.000 [1 per cell]
2 Ga 0.500 0.500 0.000 [1 per cell]
3 Co 0.000 0.500 0.500 [2 per cell]
4 Bi 0.500 0.500 0.500 [1 per cell]

- energy relative to the elements (eV/f.u.) = 5.08
- total moment (μB per formula unit) = 1.71

=====

No. 4
Compound: Pm2PuAu6
Source: Alexandria via LeMat-Bulk
Functional: GGA-PBE
Structure: optimized geometry

Unit cell a=8.2641 b=8.2641 c=3.4856 alpha=90.00 beta=90.00 gamma=120.00
Space group P6/mmm (No. 191)
Inequivalent atoms, fractional coordinates:
1 Pm 0.3333 0.6667 0.0000 [2 per cell]
2 Pu 0.0000 0.0000 0.0000 [1 per cell]
3 Au 0.0000 0.3331 0.5000 [6 per cell]

- energy relative to the elements (eV/f.u.) = -5.97
- total moment (μB per formula unit) = 5.75

=====

No. 5
Compound: PaZnAu2
Source: Alexandria via LeMat-Bulk
Functional: GGA-PBE
Structure: optimized geometry

Unit cell a=3.265 b=3.265 c=7.287 alpha=90.00 beta=90.00 gamma=90.00
Space group P4/mmm (No. 123)
Inequivalent atoms, fractional coordinates:
1 Pa 0.000 0.000 0.000 [1 per cell]
2 Zn 0.000 0.000 0.500 [1 per cell]
3 Au 0.500 0.500 0.286 [2 per cell]

- energy relative to the elements (eV/f.u.) = -1.15
- total moment (μB per formula unit) = 0.72

=====

No. 6
Compound: Ca3Al2As4
Source: Alexandria via LeMat-Bulk
Functional: GGA-PBE
Structure: optimized geometry

Unit cell a=13.470 b=8.142 c=8.292 alpha=90.00 beta=93.48 gamma=90.00
Space group C2/c (No. 15)
Inequivalent atoms, fractional coordinates:
1 Ca 0.000 0.153 0.250 [4 per cell]
2 Ca 0.138 0.226 0.637 [8 per cell]
3 Al 0.196 0.387 0.043 [8 per cell]
4 As 0.114 0.115 0.963 [8 per cell]
5 As 0.147 0.411 0.329 [8 per cell]

- energy relative to the elements (eV/f.u.) = -7.57
- total moment (μB per formula unit) = 0.00
- E above lowest polymorph (eV/atom) = 0.1216

=====

Which mass density belongs to each record? In order, 10.57; 2.28; 6.15; 13.82; 14.76; 3.47 Mg/m³.